1:
Compound: Pm2MgFe
Source: Alexandria
Functional: GGA-PBE
Structure: relaxed

Cell lengths 3.715, 3.715, 9.302 Å; angles 78.48, 78.48, 60.00 degrees
Fractional positions:
Mg1 0.500 0.500 0.500
Fe1 0.000 0.000 0.000
Pm1 0.268 0.268 0.195
Pm2 0.732 0.732 0.805

Properties
As for the spin magnetization: 0.84 Bohr magnetons per cell.

***

2:
Compound: Pm2MgFe
Source: Alexandria
Functional: GGA-PBE
Structure: relaxed

Cell lengths 3.518, 3.518, 8.198 Å; angles 90.00, 90.00, 90.00 degrees
Fractional positions:
Mg1 0.500 0.500 0.500
Fe1 0.500 0.500 0.000
Pm1 0.000 0.000 0.795
Pm2 0.000 0.000 0.205

Properties
As for the spin magnetization: 1.54 Bohr magnetons per cell.

***

Least stable structure: 1